No. 1
NaTbZnPb | PBE-GGA | relaxed

POSCAR file:
```
NaTbZnPb
1.0
5.229 0.000 0.000
2.615 4.529 0.000
2.615 1.510 4.270
Pb Na Zn Tb
1 1 1 1
Cartesian
5.229 3.019 2.135 Pb
2.615 1.510 1.067 Na
0.000 0.000 0.000 Zn
7.844 4.529 3.202 Tb
```

Computed properties:
- Total magnetization: 0.0 Bohr magnetons per cell
- DFT formation energy: -22 kJ/mol of atoms

---

No. 2
Mg2BrF | PBE-GGA | relaxed

POSCAR file:
```
Mg2BrF
1.0
0.000 3.449 3.449
3.449 0.000 3.449
3.449 3.449 0.000
Mg Br F
2 1 1
Cartesian
1.725 1.725 1.725 Mg
5.174 5.174 5.174 Mg
3.449 3.449 3.449 Br
0.000 0.000 0.000 F
```

Computed properties:
- Total magnetization: 0.0 Bohr magnetons per cell
- Uncorrected formation energy: -853 meV/atom
- E above lowest polymorph: 43.0 kJ per mole of atoms

---

No. 3
CrBr4 | PBE-GGA | relaxed

POSCAR file:
```
CrBr4
1.0
5.106 0.000 0.000
0.000 5.106 0.000
0.000 0.000 5.106
Cr Br
1 4
Cartesian
2.553 2.553 2.553 Cr
0.000 0.000 0.000 Br
2.553 0.000 2.553 Br
0.000 2.553 2.553 Br
2.553 2.553 0.000 Br
```

Computed properties:
- Total magnetization: 2.0 Bohr magnetons per cell
- Uncorrected formation energy: -146 meV/atom

---

No. 4
Ho3Zn4Pt4 | PBE-GGA | relaxed

POSCAR file:
```
Ho3Zn4Pt4
1.0
-1.037 1.817 -3.390
-5.887 -4.562 -0.644
-0.472 5.935 5.666
Ho Zn Pt
3 4 4
Cartesian
-0.973 1.128 0.902 Ho
-6.424 2.062 0.730 Ho
-2.944 -2.281 -0.322 Ho
-1.398 3.886 2.511 Zn
-3.657 1.118 -0.623 Zn
-5.998 -0.696 -0.879 Zn
-3.740 2.072 2.255 Zn
-4.678 -0.270 1.286 Pt
-2.719 3.460 0.346 Pt
-5.256 -2.762 -2.213 Pt
-1.669 0.017 -1.821 Pt
```

Computed properties:
- Total magnetization: 0.0 Bohr magnetons per cell
- DFT formation energy: -87 kJ/mol of atoms

---

No. 5
LaScTa2 | PBE-GGA | relaxed

POSCAR file:
```
LaScTa2
1.0
-0.817 1.802 5.397
1.356 -3.673 4.208
2.527 2.033 -4.745
La Sc Ta
1 1 2
Cartesian
2.076 -1.288 2.132 La
0.990 1.450 2.727 Sc
0.000 0.000 0.000 Ta
0.270 -0.935 4.802 Ta
```

Computed properties:
- Total magnetization: 0.0 Bohr magnetons per cell
- E above lowest polymorph: 26.7 kJ per mole of atoms
- DFT formation energy: 47 kJ/mol of atoms

---

No. 6
Tm2ZnAg2 | PBE-GGA | relaxed

POSCAR file:
```
Tm2ZnAg2
1.0
-2.501 2.173 -0.758
-1.952 -0.882 3.911
2.751 4.919 5.024
Tm Zn Ag
2 1 2
Cartesian
-1.356 1.898 2.293 Tm
-0.347 4.312 5.883 Tm
0.000 0.000 0.000 Zn
1.312 2.849 3.839 Ag
-0.513 1.188 5.096 Ag
```

Computed properties:
- Total magnetization: 0.0 Bohr magnetons per cell
- DFT formation energy: -24 kJ/mol of atoms

---

No. 7
NaSr2LaPd | PBE-GGA | relaxed

POSCAR file:
```
NaSr2LaPd
1.0
6.165 0.000 0.000
0.000 6.165 0.000
0.000 0.000 5.594
Sr Na Pd La
2 1 1 1
Cartesian
0.000 3.083 0.000 Sr
3.083 0.000 0.000 Sr
3.083 3.083 2.797 Na
0.000 0.000 0.000 Pd
0.000 0.000 2.797 La
```

Computed properties:
- Total magnetization: 0.0 Bohr magnetons per cell
- DFT formation energy: -22 kJ/mol of atoms

---

No. 8
Dy2CuSi | PBE-GGA | relaxed

POSCAR file:
```
Dy2CuSi
1.0
-0.838 -1.857 2.824
0.877 -4.174 -2.484
4.710 0.113 1.473
Si Cu Dy
1 1 2
Cartesian
2.374 -2.959 0.906 Si
-0.419 -0.928 1.412 Cu
2.355 0.057 0.736 Dy
0.439 -2.087 -1.242 Dy
```

Computed properties:
- Total magnetization: 0.0 Bohr magnetons per cell
- Uncorrected formation energy: -415 meV/atom

---

No. 9
Te2MoAsI | PBE-GGA | relaxed

POSCAR file:
```
Te2MoAsI
1.0
-0.455 -3.360 4.353
-1.021 -4.240 -3.380
5.329 -1.069 -0.269
I Mo Te As
1 1 2 1
Cartesian
2.665 -0.535 -0.134 I
1.927 -4.335 0.352 Mo
-0.510 -2.120 -1.690 Te
-0.227 -1.680 2.176 Te
0.000 0.000 0.000 As
```

Computed properties:
- Total magnetization: 4.0 Bohr magnetons per cell
- Uncorrected formation energy: 1091 meV/atom
- E above lowest polymorph: 35.1 kJ per mole of atoms

---

No. 10
AcPm7In4 | PBE-GGA | relaxed

POSCAR file:
```
AcPm7In4
1.0
-0.255 -5.652 1.878
5.790 -0.882 7.594
-4.980 -0.926 5.999
Ac Pm In
1 7 4
Cartesian
0.000 0.000 0.000 Ac
2.204 -5.748 11.387 Pm
-1.650 -1.712 4.085 Pm
2.172 -1.130 6.355 Pm
-1.617 -6.330 9.116 Pm
-0.209 -2.922 10.103 Pm
-0.128 -2.826 0.939 Pm
0.763 -4.539 5.369 Pm
-1.932 -3.963 6.735 In
2.486 -3.497 8.737 In
-1.100 -5.350 12.136 In
1.654 -2.110 3.336 In
```

Computed properties:
- Total magnetization: 0.4 Bohr magnetons per cell
- DFT formation energy: -11 kJ/mol of atoms

---

No. 11
La2Pm6PrHo3 | PBE-GGA | relaxed

POSCAR file:
```
La2Pm6PrHo3
1.0
6.316 -0.003 0.005
-3.158 5.469 0.005
-1.066 -1.845 11.881
La Pm Pr Ho
2 6 1 3
Cartesian
0.000 3.645 0.005 La
3.157 1.821 0.005 La
3.146 1.803 8.844 Pm
2.103 3.642 3.053 Pm
-1.054 1.818 3.049 Pm
-0.010 3.626 8.844 Pm
-0.012 -0.020 8.839 Pm
2.102 -0.004 3.049 Pm
0.000 0.000 0.000 Pr
-2.114 3.636 5.946 Ho
4.205 -0.014 5.946 Ho
1.046 1.811 5.946 Ho
```

Computed properties:
- Total magnetization: 0.0 Bohr magnetons per cell
- DFT formation energy: 2 kJ/mol of atoms

---

No. 12
Na3ErCr2Se6 | PBE-GGA | relaxed

POSCAR file:
```
Na3ErCr2Se6
1.0
-0.274 -6.661 0.675
1.374 3.849 5.310
-7.177 1.372 -0.558
Na Er Cr Se
3 1 2 6
Cartesian
-2.480 2.839 4.283 Na
-3.596 -4.279 1.143 Na
-3.038 -0.720 2.713 Na
0.000 0.000 0.000 Er
0.826 0.352 3.768 Cr
0.274 -3.164 2.217 Cr
-5.145 -2.917 3.210 Se
-0.725 -1.710 4.135 Se
-0.932 1.477 2.216 Se
-4.551 0.869 4.880 Se
-5.352 0.270 1.291 Se
-1.526 -2.310 0.546 Se
```

Computed properties:
- Total magnetization: 6.0 Bohr magnetons per cell
- Uncorrected formation energy: -1078 meV/atom